Entry 1:
VASP calculation (GGA-PBEsol) on a relaxed structure of Ba2ZnNi.

The structure in extended XYZ format:
```
4
Lattice="-3.5426 1.8155 -1.7553 -1.3364 -1.2202 -3.9563 -6.2542 -5.5933 1.4458" Properties=species:S:1:pos:R:3 pbc="T T T"
Ni -5.5666 -2.4990 -2.1329
Ba -2.9689 -1.4817 -0.9322
Zn 0.0000 0.0000 0.0000
Ba -8.1644 -3.5163 -3.3337
```

- Spin magnetization: 0.00 μB per cell
- D(E_F): 2.37 states/eV per cell
- DFT total energy: -11.29 eV per cell
- Energy relative to the elements: 0.186 eV/atom

***

Entry 2:
VASP calculation (GGA-PBEsol) on a relaxed structure of RbLaTa2O7.

The structure in extended XYZ format:
```
11
Lattice="3.8734 0.0000 0.0000 0.0000 3.8734 0.0000 0.0000 0.0000 11.1657" Properties=species:S:1:pos:R:3 pbc="T T T"
O 0.0000 0.0000 0.0000
Ta 0.0000 0.0000 2.2568
O 1.9367 0.0000 9.3396
O 0.0000 1.9367 9.3396
Ta 0.0000 0.0000 8.9089
O 0.0000 0.0000 4.0525
O 0.0000 0.0000 7.1131
O 1.9367 0.0000 1.8261
La 1.9367 1.9367 0.0000
Rb 1.9367 1.9367 5.5828
O 0.0000 1.9367 1.8261
```

- Spin magnetization: 0.00 μB per cell
- D(E_F): 0.00 states/eV per cell
- DFT total energy: -100.69 eV per cell

***

Entry 3:
VASP calculation (GGA-PBEsol) on a relaxed structure of KZr3Ni.

The structure in extended XYZ format:
```
5
Lattice="-1.2512 -2.7409 -3.9775 4.4713 0.8975 -2.0250 1.8277 -4.0719 2.2310" Properties=species:S:1:pos:R:3 pbc="T T T"
Zr 0.9139 -2.0360 1.1155
Ni 0.0000 0.0000 0.0000
K 2.5239 -2.9577 -1.8857
Zr -0.6256 -1.3704 -1.9888
Zr 2.2357 0.4487 -1.0125
```

- Spin magnetization: 0.00 μB per cell
- D(E_F): 6.01 states/eV per cell
- DFT total energy: -31.44 eV per cell
- Energy relative to the elements: 0.624 eV/atom

***

Entry 4:
VASP calculation (GGA-PBEsol) on a relaxed structure of Zr2Al2Au.

The structure in extended XYZ format:
```
10
Lattice="-0.1586 2.2127 3.6518 -6.5509 0.0285 -0.3017 -0.1806 -5.6100 3.3914" Properties=species:S:1:pos:R:3 pbc="T T T"
Au 0.0000 0.0000 0.0000
Al -4.2017 -0.7538 0.2743
Al -0.9669 -2.0291 1.1875
Zr -4.5798 -3.5649 4.4609
Al -2.5298 -4.8277 2.8154
Zr -1.2732 -2.6137 4.0282
Zr -2.3103 0.1962 2.2805
Al -5.7646 -3.5523 1.9022
Zr -5.6168 -0.7550 2.7133
Au -3.3658 -2.7907 1.5448
```

- Spin magnetization: 0.00 μB per cell
- D(E_F): 3.74 states/eV per cell
- DFT total energy: -66.54 eV per cell
- Energy relative to the elements: -0.596 eV/atom

***

Entry 5:
VASP calculation (GGA-PBEsol) on a relaxed structure of Mn2BeTc.

The structure in extended XYZ format:
```
4
Lattice="-1.7548 -1.3086 2.1774 -2.1948 -1.4482 -2.6392 2.2034 -3.1383 -0.1103" Properties=species:S:1:pos:R:3 pbc="T T T"
Be 0.0043 -2.2932 -1.3748
Tc -1.9748 -1.3784 -0.2309
Mn 0.0000 0.0000 0.0000
Mn 0.2243 -2.2234 1.0335
```

- Spin magnetization: 2.60 μB per cell
- D(E_F): 3.64 states/eV per cell
- DFT total energy: -34.42 eV per cell
- Energy relative to the elements: 0.092 eV/atom

***

Entry 6:
VASP calculation (GGA-PBEsol) on a relaxed structure of LiP2AuO.

The structure in extended XYZ format:
```
5
Lattice="-2.4703 -2.6818 1.6125 2.4581 -3.5752 -2.1802 2.9126 -0.3567 3.8688" Properties=species:S:1:pos:R:3 pbc="T T T"
Li 1.4502 -3.3068 1.6505
O -1.2352 -1.3409 0.8063
Au 0.0000 0.0000 0.0000
P 1.4563 -0.1783 1.9344
P 1.2291 -1.7876 -1.0901
```

- Spin magnetization: 0.58 μB per cell
- D(E_F): 3.88 states/eV per cell
- DFT total energy: -19.66 eV per cell

***

Entry 7:
VASP calculation (GGA-PBEsol) on a relaxed structure of AgAsIr2.

The structure in extended XYZ format:
```
4
Lattice="2.8092 0.0000 0.0000 0.0000 4.5971 0.0000 0.0000 0.0000 4.7372" Properties=species:S:1:pos:R:3 pbc="T T T"
Ir 0.0000 0.0000 0.0000
Ag 1.4046 2.2985 0.0000
As 0.0000 2.2985 2.3686
Ir 1.4046 0.0000 2.3686
```

- Spin magnetization: 0.00 μB per cell
- D(E_F): 3.69 states/eV per cell
- DFT total energy: -26.28 eV per cell
- Energy relative to the elements: 0.445 eV/atom

***

Entry 8:
VASP calculation (GGA-PBEsol) on a relaxed structure of KZr2Rh.

The structure in extended XYZ format:
```
4
Lattice="-0.8210 -2.0147 2.2881 -0.4972 -2.3931 -2.2856 10.4290 -0.7174 0.9320" Properties=species:S:1:pos:R:3 pbc="T T T"
Rh 3.6008 -2.3476 -0.7751
Zr 4.7260 -2.5432 1.6347
Zr 1.9773 -0.5912 0.1889
K 8.5766 -2.5645 0.8193
```

- Spin magnetization: 0.00 μB per cell
- D(E_F): 4.11 states/eV per cell
- DFT total energy: -26.50 eV per cell
- Energy relative to the elements: 0.239 eV/atom

***

Entry 9:
VASP calculation (GGA-PBEsol) on a relaxed structure of TlHgPb2.

The structure in extended XYZ format:
```
4
Lattice="-0.2147 -3.3385 -0.3411 -0.0050 1.0399 3.1979 -10.6465 0.7099 -0.2475" Properties=species:S:1:pos:R:3 pbc="T T T"
Tl -5.4331 -0.7944 1.3046
Pb -2.5348 0.1690 -0.0589
Hg -0.1098 -1.1493 1.4284
Pb -8.1117 0.5409 -0.1886
```

- Spin magnetization: 0.00 μB per cell
- D(E_F): 1.79 states/eV per cell
- DFT total energy: -11.11 eV per cell
- Energy relative to the elements: 0.020 eV/atom

***

Entry 10:
VASP calculation (GGA-PBEsol) on a relaxed structure of B3PdSe.

The structure in extended XYZ format:
```
5
Lattice="-0.2670 -3.6584 1.6559 2.9582 -1.3015 -2.3983 2.7156 1.0580 2.7754" Properties=species:S:1:pos:R:3 pbc="T T T"
Pd 2.7034 -1.9509 1.0165
Se 0.0000 0.0000 0.0000
B -0.1335 -1.8292 0.8279
B 1.4791 -0.6507 -1.1992
B 1.3578 0.5290 1.3877
```

- Spin magnetization: 0.00 μB per cell
- D(E_F): 2.13 states/eV per cell
- DFT total energy: -21.16 eV per cell

***

Entry 11:
VASP calculation (GGA-PBEsol) on a relaxed structure of Be2HgAs.

The structure in extended XYZ format:
```
4
Lattice="4.3843 0.0000 0.0000 2.1921 3.7969 0.0000 2.1921 1.2656 3.5798" Properties=species:S:1:pos:R:3 pbc="T T T"
Hg 4.3843 2.5313 1.7899
Be 2.1921 1.2656 0.8949
Be 6.5764 3.7969 2.6848
As 0.0000 0.0000 0.0000
```

- Spin magnetization: 0.00 μB per cell
- D(E_F): 1.77 states/eV per cell
- DFT total energy: -11.37 eV per cell
- Energy relative to the elements: 0.576 eV/atom

***

Entry 12:
VASP calculation (GGA-PBEsol) on a relaxed structure of Mg14TiMnO16.

The structure in extended XYZ format:
```
32
Lattice="4.2255 0.0000 0.0000 0.0000 8.5173 0.0000 0.0000 0.0000 8.4976" Properties=species:S:1:pos:R:3 pbc="T T T"
Mg 0.0000 2.1211 2.1343
O 2.1127 6.3863 2.1172
O 2.1127 0.0000 4.2488
O 0.0000 4.2586 2.1636
Mn 0.0000 0.0000 0.0000
Mg 2.1127 2.1258 4.2488
O 0.0000 4.2586 6.3341
Mg 2.1127 0.0000 2.1329
Mg 2.1127 4.2586 2.1414
Mg 2.1127 4.2586 6.3562
O 2.1127 0.0000 0.0000
O 2.1127 4.2586 4.2488
O 0.0000 6.3593 0.0000
O 2.1127 2.1310 2.1172
Ti 0.0000 4.2586 0.0000
O 0.0000 2.1580 0.0000
O 0.0000 0.0000 2.1947
O 0.0000 6.3787 4.2488
Mg 0.0000 2.1211 6.3633
Mg 2.1127 6.4113 0.0000
O 0.0000 2.1385 4.2488
Mg 0.0000 0.0000 4.2488
O 2.1127 4.2586 0.0000
O 2.1127 2.1310 6.3804
Mg 2.1127 2.1059 0.0000
O 0.0000 0.0000 6.3030
Mg 2.1127 6.3915 4.2488
Mg 0.0000 6.3961 2.1343
Mg 0.0000 6.3961 6.3633
O 2.1127 6.3863 6.3804
Mg 0.0000 4.2586 4.2488
Mg 2.1127 0.0000 6.3648
```

- Spin magnetization: 6.54 μB per cell
- D(E_F): 6.17 states/eV per cell
- DFT total energy: -208.64 eV per cell